Entry 1:
The following is a PBE calculation of an optimized crystal structure of RbMnPS2, from Alexandria via LeMat-Bulk.

Cell lengths 5.5515, 5.5515, 5.4433 Å; angles 90.00, 90.00, 90.00 degrees
Atoms (fractional coordinates):
Rb: 0.0000 0.0000 0.0000
Mn: 0.5000 0.5000 0.5000
P: 0.0000 0.0000 0.5000
S: 0.0000 0.5000 0.0000
S: 0.5000 0.0000 0.0000

Summary:
uncorrected energy	-0.2242	Ry per atom
density of states at the Fermi level	6.0	states/eV/cell
excess energy over the best structure of this formula in the dataset	1.8710	eV/atom
formation energy from raw total energies	164.9	kJ/mol of atoms



Entry 2:
The following is a PBE calculation of an optimized crystal structure of Rb2NaGePd, from Alexandria via LeMat-Bulk.

Cell lengths 6.6961, 6.6961, 4.7634 Å; angles 90.00, 90.00, 90.00 degrees
Atoms (fractional coordinates):
Rb: 0.0000 0.5000 0.0000
Rb: 0.5000 0.0000 0.0000
Na: 0.0000 0.0000 0.5000
Ge: 0.5000 0.5000 0.5000
Pd: 0.5000 0.5000 0.0000

Summary:
uncorrected energy	-0.1906	Ry per atom
energy of formation	0.019	eV per atom
density of states at the Fermi level	4.5	states/eV/cell